A relaxed Nd6Dy8Pb crystal, computed with PBE.

Calculated values
**D(E_F)**: 18.9 states/eV/f.u.

Unit cell a=6.4984 b=9.4445 c=9.4445 alpha=120.00 beta=90.00 gamma=90.00
Atoms (fractional coordinates):
Dy (0.1830, 0.7737, 0.0372)
Dy (0.8170, 0.7365, 0.7737)
Dy (0.1830, 0.9628, 0.7365)
Dy (0.8460, 0.3333, 0.6667)
Dy (0.8170, 0.0372, 0.2635)
Dy (0.1830, 0.2635, 0.2263)
Dy (0.8170, 0.2263, 0.9628)
Dy (0.1540, 0.6667, 0.3333)
Pb (0.5000, 0.0000, 0.0000)
Nd (0.6791, 0.6415, 0.0899)
Nd (0.3209, 0.0899, 0.4485)
Nd (0.3209, 0.5515, 0.6415)
Nd (0.6791, 0.9101, 0.5515)
Nd (0.3209, 0.3585, 0.9101)
Nd (0.6791, 0.4485, 0.3585)

A relaxed NdDy3Pb2 crystal, computed with PBE.

Calculated values
**D(E_F)**: 4.8 states/eV/f.u.
**Relative energy among the computed polymorphs**: 0 meV/atom

Unit cell a=4.5813 b=4.5813 c=8.6832 alpha=90.00 beta=90.00 gamma=90.00
Atoms (fractional coordinates):
Dy (0.0000, 0.0000, 0.0000)
Dy (0.0000, 0.5000, 0.6560)
Dy (0.5000, 0.0000, 0.3440)
Pb (0.5000, 0.0000, 0.7108)
Pb (0.0000, 0.5000, 0.2892)
Nd (0.5000, 0.5000, 0.0000)

ΔH_f (0 K) for every record listed, in sequence, given in eV/f.u.: 0.93 -2.44.